Below is ZnHgSeO after structural relaxation, with properties calculated at the PBE level.

Summary:
Symmetry ... P6_3mc (186)
Energy above the most stable polymorph in this dataset ... 257 meV per atom
E ... -23.16 eV for the cell shown

Unit cell a=3.587 b=3.587 c=12.865 alpha=90.00 beta=90.00 gamma=120.00
Fractional coordinates of all 8 atoms:
Zn 0.333 0.667 0.000
Zn 0.667 0.333 0.500
Hg 0.000 0.000 0.222
Hg 0.000 0.000 0.722
Se 0.333 0.667 0.361
Se 0.667 0.333 0.861
O 0.000 0.000 0.052
O 0.000 0.000 0.552